No. 1
VASP calculation (PBEsol) on an optimized crystal structure of VOF.

Structure (POSCAR):
```
VOF
1.0
3.077 0.000 0.000
0.000 3.856 0.000
0.000 0.000 5.771
V O F
2 2 2
Direct
0.250 0.250 0.143
0.750 0.750 0.857
0.250 0.750 0.089
0.750 0.250 0.911
0.250 0.750 0.646
0.750 0.250 0.354
```

Computed properties:
The size of the total moment is 4.000 Bohr magnetons per cell. The density is 4168 kg/m³. The space group is No. 59. The calculation puts the total energy at -48.33 eV/cell. For the density of states at the Fermi level, the calculation gives 0.92 states/eV/atom. The formation energy without anion corrections is -2.45 eV per atom.


No. 2
VASP calculation (PBEsol) on an optimized crystal structure of Os3Pt2.

Structure (POSCAR):
```
Os3Pt2
1.0
1.855 1.071 7.205
-1.855 1.071 7.205
0.000 -2.142 7.205
Os Pt
3 2
Direct
0.000 0.000 0.000
0.190 0.190 0.190
0.810 0.810 0.810
0.394 0.394 0.394
0.606 0.606 0.606
```

Computed properties:
The size of the total moment is 0.000 Bohr magnetons per cell. The density is 18577 kg/m³. The space group is No. 166. The calculation puts the total energy at -44.71 eV/cell. For the density of states at the Fermi level, the calculation gives 1.07 states/eV/atom.


No. 3
VASP calculation (PBEsol) on an optimized crystal structure of CaYCr2.

Structure (POSCAR):
```
CaYCr2
1.0
5.599 -1.600 0.000
5.599 1.600 0.000
-1.667 0.000 4.927
Ca Y Cr
1 1 2
Direct
0.000 0.000 0.000
0.799 0.799 0.364
0.237 0.237 0.817
0.552 0.552 0.534
```

Computed properties:
The size of the total moment is 6.358 Bohr magnetons per cell. The density is 4383 kg/m³. The space group is No. 8. The calculation puts the total energy at -26.27 eV/cell. For the density of states at the Fermi level, the calculation gives 1.11 states/eV/atom.


No. 4
VASP calculation (PBEsol) on an optimized crystal structure of LaSb.

Structure (POSCAR):
```
LaSb
1.0
-2.296 2.296 5.559
2.296 -2.296 5.559
2.296 2.296 -5.559
La Sb
2 2
Direct
0.375 0.625 0.750
0.625 0.375 0.250
0.125 0.875 0.250
0.875 0.125 0.750
```

Computed properties:
The size of the total moment is 0.000 Bohr magnetons per cell. The density is 7386 kg/m³. The space group is No. 141. The calculation puts the total energy at -23.86 eV/cell. For the density of states at the Fermi level, the calculation gives 0.60 states/eV/atom. The formation energy without anion corrections is -1.01 eV per atom.